Compound: RuSeIN2
Source: the Alexandria database
Functional: PBE
Structure: optimized geometry

Computed properties:
Its total magnetic moment is 0.0 μB per formula unit. Its raw total energy is -5.136 eV per atom. As for the space-group type: No. 123. Its formation energy (no corrections) is 1056 meV per atom. The calculation puts the density of states at the Fermi level at 4.11 states/eV/f.u.

abc: 3.8863 3.8863 5.9698
angles: 90.00 90.00 90.00
Positions (direct):
N1 0.0000 0.5000 0.0000
N2 0.5000 0.0000 0.0000
Ru1 0.0000 0.0000 0.0000
Se1 0.5000 0.5000 0.5000
I1 0.0000 0.0000 0.5000